Nb2Tl3W4N3: optimized geometry, PBE.

Properties
electronic total energy = -101.61 eV per formula unit

Cell: 5.7753 5.7753 13.9085 Å, 102.23 102.23 57.07°
Closest atoms and distances in Å follow each position.
Atoms (fractional coordinates):
Tl 0.2439 0.4138 0.7512  4 W 3.00-3.07, 2 Nb 3.03-3.04, 5 Tl 3.18-3.35
N 0.6601 0.1696 0.9993  4 W 2.08-2.19, 2 Nb 2.17-2.21
N 0.3399 0.8304 0.0007  4 W 2.08-2.19, 2 Nb 2.17-2.21
W 0.8135 0.9725 0.4283  3 N 2.08-2.19
W 0.8651 0.6876 0.5738  3 N 2.12-2.14
Tl 0.0672 0.9328 0.2500  2 Nb 2.95, 4 W 3.04-3.05, 2 Tl 3.18
N 0.5000 0.0000 0.5000  4 W 2.12-2.16, 2 Nb 2.18
N 0.1696 0.6601 0.4993  4 W 2.08-2.19, 2 Nb 2.17-2.21
W 0.9725 0.8135 0.9283  3 N 2.08-2.19
W 0.1865 0.0275 0.5717  3 N 2.08-2.19
Tl 0.5862 0.7561 0.7488  4 W 3.00-3.07, 2 Nb 3.03-3.04, 5 Tl 3.18-3.35
Tl 0.4138 0.2439 0.2512  4 W 3.00-3.07, 2 Nb 3.03-3.04, 5 Tl 3.18-3.35
Nb 0.4656 0.6518 0.4190  3 N 2.17-2.21
N 0.8304 0.3399 0.5007  4 W 2.08-2.19, 2 Nb 2.17-2.21
Tl 0.7561 0.5862 0.2488  4 W 3.00-3.07, 2 Nb 3.03-3.04, 5 Tl 3.18-3.35
W 0.6876 0.8651 0.0738  3 N 2.12-2.14
Tl 0.9328 0.0672 0.7500  2 Nb 2.95, 4 W 3.04-3.05, 2 Tl 3.18
W 0.1349 0.3124 0.4262  3 N 2.12-2.14
N 0.0000 0.5000 0.0000  4 W 2.12-2.16, 2 Nb 2.18
Nb 0.3482 0.5344 0.0810  3 N 2.17-2.21
Nb 0.5344 0.3482 0.5810  3 N 2.17-2.21
Nb 0.6518 0.4656 0.9190  3 N 2.17-2.21
W 0.3124 0.1349 0.9262  3 N 2.12-2.14
W 0.0275 0.1865 0.0717  3 N 2.08-2.19